Entry 1:
The following is a GGA-PBE calculation of a relaxed ZnTeP crystal, from the Alexandria database.

## Properties
size of the total moment: 0.00 μB per formula unit
formation energy (no corrections): 0.010 eV per atom
energy relative to the lowest polymorph listed for this composition: 133 meV/atom
SG: No. 1

```
data_ZnTeP
_chemical_formula_sum 'Zn2 Te2 P2'
_symmetry_space_group_name_H-M 'P 1'
_symmetry_Int_Tables_number 1
_symmetry_space_group_name_Hall 'P 1'
_cell_length_a 4.326
_cell_length_b 5.965
_cell_length_c 5.988
_cell_angle_alpha 76.04
_cell_angle_beta 75.24
_cell_angle_gamma 80.32
loop_
_atom_site_label
_atom_site_fract_x
_atom_site_fract_y
_atom_site_fract_z
_atom_site_occupancy
P1 0.678 0.766 0.631 1
Te1 0.774 0.079 0.819 1
Zn1 0.979 0.897 0.240 1
P2 0.243 0.258 0.058 1
Te2 0.459 0.514 0.255 1
Zn2 0.165 0.549 0.716 1
```

Entry 2:
The following is a GGA-PBE calculation of a relaxed SmTmSi2 crystal, from the Alexandria database.

## Properties
size of the total moment: 0.00 μB per formula unit
formation energy (no corrections): -0.498 eV per atom
energy relative to the lowest polymorph listed for this composition: 293 meV/atom
SG: No. 166

```
data_SmTmSi2
_chemical_formula_sum 'Sm1 Tm1 Si2'
_symmetry_space_group_name_H-M 'P 1'
_symmetry_Int_Tables_number 1
_symmetry_space_group_name_Hall 'P 1'
_cell_length_a 4.588
_cell_length_b 4.588
_cell_length_c 5.791
_cell_angle_alpha 66.66
_cell_angle_beta 66.66
_cell_angle_gamma 60.00
loop_
_atom_site_label
_atom_site_fract_x
_atom_site_fract_y
_atom_site_fract_z
_atom_site_occupancy
Tm1 0.000 0.000 0.000 1
Si1 0.258 0.258 0.226 1
Sm1 0.500 0.500 0.500 1
Si2 0.742 0.742 0.774 1
```

Entry 3:
The following is a GGA-PBE calculation of a relaxed LaCe3Pt crystal, from the Alexandria database.

## Properties
ΔH_f (0 K): -0.3618 eV/atom
size of the total moment: 1.30 μB per formula unit
SG: No. 11

```
data_LaCe3Pt
_chemical_formula_sum 'La2 Ce6 Pt2'
_symmetry_space_group_name_H-M 'P 1'
_symmetry_Int_Tables_number 1
_symmetry_space_group_name_Hall 'P 1'
_cell_length_a 5.971
_cell_length_b 7.187
_cell_length_c 6.466
_cell_angle_alpha 90.00
_cell_angle_beta 90.00
_cell_angle_gamma 97.43
loop_
_atom_site_label
_atom_site_fract_x
_atom_site_fract_y
_atom_site_fract_z
_atom_site_occupancy
Ce1 0.031 0.693 0.030 1
Ce2 0.621 0.928 0.250 1
Ce3 0.969 0.307 0.530 1
Ce4 0.031 0.693 0.470 1
Pt1 0.811 0.947 0.750 1
Ce5 0.379 0.072 0.750 1
Ce6 0.969 0.307 0.970 1
Pt2 0.189 0.053 0.250 1
La1 0.503 0.576 0.750 1
La2 0.497 0.424 0.250 1
```

Entry 4:
The following is a GGA-PBE calculation of a relaxed Zr2PbI crystal, from the Alexandria database.

## Properties
size of the total moment: 0.00 μB per formula unit
formation energy (no corrections): 0.370 eV per atom
energy relative to the lowest polymorph listed for this composition: 433 meV/atom
SG: No. 122

```
data_Zr2PbI
_chemical_formula_sum 'Zr4 Pb2 I2'
_symmetry_space_group_name_H-M 'P 1'
_symmetry_Int_Tables_number 1
_symmetry_space_group_name_Hall 'P 1'
_cell_length_a 4.574
_cell_length_b 4.574
_cell_length_c 10.963
_cell_angle_alpha 77.96
_cell_angle_beta 77.96
_cell_angle_gamma 90.00
loop_
_atom_site_label
_atom_site_fract_x
_atom_site_fract_y
_atom_site_fract_z
_atom_site_occupancy
I1 0.500 0.500 0.000 1
Pb1 0.000 0.000 0.000 1
Zr1 0.875 0.880 0.750 1
Pb2 0.750 0.250 0.500 1
Zr2 0.375 0.370 0.750 1
Zr3 0.120 0.625 0.250 1
Zr4 0.630 0.125 0.250 1
I2 0.250 0.750 0.500 1
```

Entry 5:
The following is a GGA-PBE calculation of a relaxed ZrCr2TcRh crystal, from the Alexandria database.

## Properties
ΔH_f (0 K): 0.9029 eV/atom
size of the total moment: 3.18 μB per formula unit
SG: No. 123

```
data_ZrCr2TcRh
_chemical_formula_sum 'Zr1 Cr2 Tc1 Rh1'
_symmetry_space_group_name_H-M 'P 1'
_symmetry_Int_Tables_number 1
_symmetry_space_group_name_Hall 'P 1'
_cell_length_a 4.424
_cell_length_b 4.804
_cell_length_c 4.424
_cell_angle_alpha 90.00
_cell_angle_beta 90.00
_cell_angle_gamma 90.00
loop_
_atom_site_label
_atom_site_fract_x
_atom_site_fract_y
_atom_site_fract_z
_atom_site_occupancy
Tc1 0.000 0.000 0.000 1
Rh1 0.000 0.500 0.000 1
Cr1 0.500 0.000 0.000 1
Zr1 0.500 0.500 0.500 1
Cr2 0.000 0.000 0.500 1
```

Entry 6:
The following is a GGA-PBE calculation of a relaxed InCu2Pt crystal, from the Alexandria database.

## Properties
ΔH_f (0 K): 0.1276 eV/atom
size of the total moment: 0.00 μB per formula unit
SG: No. 166

```
data_InCu2Pt
_chemical_formula_sum 'In1 Cu2 Pt1'
_symmetry_space_group_name_H-M 'P 1'
_symmetry_Int_Tables_number 1
_symmetry_space_group_name_Hall 'P 1'
_cell_length_a 8.755
_cell_length_b 8.755
_cell_length_c 8.755
_cell_angle_alpha 19.16
_cell_angle_beta 19.16
_cell_angle_gamma 19.16
loop_
_atom_site_label
_atom_site_fract_x
_atom_site_fract_y
_atom_site_fract_z
_atom_site_occupancy
In1 0.250 0.250 0.250 1
Cu1 0.497 0.497 0.497 1
Pt1 0.750 0.750 0.750 1
Cu2 0.003 0.003 0.003 1
```

Entry 7:
The following is a GGA-PBE calculation of a relaxed ErMgAu crystal, from the Alexandria database.

## Properties
ΔH_f (0 K): -0.6322 eV/atom
size of the total moment: 0.00 μB per formula unit
SG: No. 194

```
data_ErMgAu
_chemical_formula_sum 'Er2 Mg2 Au2'
_symmetry_space_group_name_H-M 'P 1'
_symmetry_Int_Tables_number 1
_symmetry_space_group_name_Hall 'P 1'
_cell_length_a 5.064
_cell_length_b 5.064
_cell_length_c 6.047
_cell_angle_alpha 90.00
_cell_angle_beta 90.00
_cell_angle_gamma 120.01
loop_
_atom_site_label
_atom_site_fract_x
_atom_site_fract_y
_atom_site_fract_z
_atom_site_occupancy
Mg1 0.000 0.500 0.000 1
Au1 0.667 0.833 0.250 1
Er1 0.667 0.833 0.750 1
Au2 0.333 0.167 0.750 1
Mg2 0.000 0.500 0.500 1
Er2 0.333 0.167 0.250 1
```

Entry 8:
The following is a GGA-PBE calculation of a relaxed Pd8Au crystal, from the Alexandria database.

## Properties
ΔH_f (0 K): -0.0053 eV/atom
size of the total moment: 1.97 μB per formula unit
energy relative to the lowest polymorph listed for this composition: 0 meV/atom
SG: No. 139

```
data_Pd8Au
_chemical_formula_sum 'Pd8 Au1'
_symmetry_space_group_name_H-M 'P 1'
_symmetry_Int_Tables_number 1
_symmetry_space_group_name_Hall 'P 1'
_cell_length_a 3.971
_cell_length_b 6.284
_cell_length_c 6.284
_cell_angle_alpha 84.27
_cell_angle_beta 71.58
_cell_angle_gamma 71.58
loop_
_atom_site_label
_atom_site_fract_x
_atom_site_fract_y
_atom_site_fract_z
_atom_site_occupancy
Au1 0.000 0.000 0.000 1
Pd1 0.332 0.336 0.000 1
Pd2 0.665 0.335 0.335 1
Pd3 0.668 0.000 0.664 1
Pd4 0.335 0.665 0.665 1
Pd5 0.332 0.000 0.336 1
Pd6 0.668 0.664 0.000 1
Pd7 0.000 0.665 0.335 1
Pd8 0.000 0.335 0.665 1
```

Entry 9:
The following is a GGA-PBE calculation of a relaxed IrSe4 crystal, from the Alexandria database.

## Properties
size of the total moment: 0.00 μB per formula unit
formation energy (no corrections): 0.035 eV per atom
energy relative to the lowest polymorph listed for this composition: 0 meV/atom
SG: No. 15

```
data_IrSe4
_chemical_formula_sum 'Ir2 Se8'
_symmetry_space_group_name_H-M 'P 1'
_symmetry_Int_Tables_number 1
_symmetry_space_group_name_Hall 'P 1'
_cell_length_a 6.746
_cell_length_b 4.662
_cell_length_c 13.382
_cell_angle_alpha 66.50
_cell_angle_beta 75.40
_cell_angle_gamma 43.65
loop_
_atom_site_label
_atom_site_fract_x
_atom_site_fract_y
_atom_site_fract_z
_atom_site_occupancy
Ir1 0.055 0.750 0.250 1
Se1 0.084 0.669 0.696 1
Se2 0.551 0.169 0.196 1
Ir2 0.945 0.250 0.750 1
Se3 0.449 0.831 0.804 1
Se4 0.824 0.513 0.553 1
Se5 0.890 0.987 0.947 1
Se6 0.176 0.487 0.447 1
Se7 0.916 0.331 0.304 1
Se8 0.110 0.013 0.053 1
```

Entry 10:
The following is a GGA-PBE calculation of a relaxed RbNp3O9 crystal, from the Alexandria database.

## Properties
size of the total moment: 4.00 μB per formula unit
formation energy (no corrections): -2.753 eV per atom
SG: No. 191

```
data_RbNp3O9
_chemical_formula_sum 'Rb1 Np3 O9'
_symmetry_space_group_name_H-M 'P 1'
_symmetry_Int_Tables_number 1
_symmetry_space_group_name_Hall 'P 1'
_cell_length_a 4.156
_cell_length_b 8.012
_cell_length_c 8.012
_cell_angle_alpha 120.00
_cell_angle_beta 90.00
_cell_angle_gamma 90.00
loop_
_atom_site_label
_atom_site_fract_x
_atom_site_fract_y
_atom_site_fract_z
_atom_site_occupancy
O1 0.000 0.500 0.500 1
O2 0.500 0.413 0.206 1
O3 0.500 0.794 0.206 1
O4 0.000 0.000 0.500 1
O5 0.000 0.500 0.000 1
O6 0.500 0.206 0.413 1
O7 0.500 0.794 0.587 1
Np1 0.500 0.000 0.500 1
O8 0.500 0.587 0.794 1
Rb1 0.000 0.000 0.000 1
O9 0.500 0.206 0.794 1
Np2 0.500 0.500 0.500 1
Np3 0.500 0.500 0.000 1
```

Entry 11:
The following is a GGA-PBE calculation of a relaxed HfCdSCl2 crystal, from the Alexandria database.

## Properties
size of the total moment: 0.00 μB per formula unit
formation energy (no corrections): 0.167 eV per atom
energy relative to the lowest polymorph listed for this composition: 1125 meV/atom
SG: No. 123

```
data_HfCdSCl2
_chemical_formula_sum 'Hf1 Cd1 S1 Cl2'
_symmetry_space_group_name_H-M 'P 1'
_symmetry_Int_Tables_number 1
_symmetry_space_group_name_Hall 'P 1'
_cell_length_a 5.827
_cell_length_b 4.599
_cell_length_c 5.827
_cell_angle_alpha 90.00
_cell_angle_beta 90.00
_cell_angle_gamma 90.00
loop_
_atom_site_label
_atom_site_fract_x
_atom_site_fract_y
_atom_site_fract_z
_atom_site_occupancy
Hf1 0.000 0.500 0.000 1
S1 0.000 0.000 0.000 1
Cl1 0.000 0.000 0.500 1
Cl2 0.500 0.000 0.000 1
Cd1 0.500 0.500 0.500 1
```

Entry 12:
The following is a GGA-PBE calculation of a relaxed RbCaNpCl6 crystal, from the Alexandria database.

## Properties
size of the total moment: 4.00 μB per formula unit
formation energy (no corrections): -2.026 eV per atom
SG: No. 163

```
data_RbCaNpCl6
_chemical_formula_sum 'Rb2 Ca2 Np2 Cl12'
_symmetry_space_group_name_H-M 'P 1'
_symmetry_Int_Tables_number 1
_symmetry_space_group_name_Hall 'P 1'
_cell_length_a 7.261
_cell_length_b 7.261
_cell_length_c 14.201
_cell_angle_alpha 90.00
_cell_angle_beta 90.00
_cell_angle_gamma 120.00
loop_
_atom_site_label
_atom_site_fract_x
_atom_site_fract_y
_atom_site_fract_z
_atom_site_occupancy
Np1 0.333 0.667 0.750 1
Np2 0.667 0.333 0.250 1
Cl1 0.999 0.626 0.358 1
Ca1 0.667 0.333 0.750 1
Cl2 0.374 0.372 0.358 1
Cl3 0.372 0.374 0.858 1
Cl4 0.999 0.372 0.142 1
Cl5 0.374 0.001 0.142 1
Ca2 0.333 0.667 0.250 1
Cl6 0.628 0.626 0.142 1
Cl7 0.001 0.374 0.642 1
Cl8 0.001 0.628 0.858 1
Rb1 0.000 0.000 0.000 1
Cl9 0.626 0.628 0.642 1
Cl10 0.626 0.999 0.858 1
Cl11 0.628 0.001 0.358 1
Cl12 0.372 0.999 0.642 1
Rb2 0.000 0.000 0.500 1
```